DFT (PBE-GGA) results for a geometry-optimized LaPm2Ge structure.

POSCAR file:
```
LaPm2Ge
1.0
3.941 0.000 0.000
0.000 3.941 0.000
0.000 0.000 7.448
La Pm Ge
1 2 1
Direct
0.000 0.000 0.000
0.500 0.500 0.301
0.500 0.500 0.699
0.000 0.000 0.500
```

- polymorph energy (0 for the lowest one) (eV/f.u.) = 0.462
- SG = No. 123
- total magnetization (μB per formula unit) = 0.0
- E (eV per atom) = -5.097
- formation energy (eV/atom) = -0.34

---

DFT (PBE-GGA) results for a geometry-optimized LaPm2Ge structure.

POSCAR file:
```
LaPm2Ge
1.0
7.951 0.000 0.000
0.000 9.469 0.000
0.000 0.000 6.519
La Pm Ge
4 8 4
Direct
0.031 0.250 0.132
0.469 0.750 0.632
0.531 0.250 0.368
0.969 0.750 0.868
0.191 0.052 0.624
0.191 0.448 0.624
0.309 0.552 0.124
0.309 0.948 0.124
0.691 0.052 0.876
0.691 0.448 0.876
0.809 0.552 0.376
0.809 0.948 0.376
0.115 0.750 0.414
0.385 0.250 0.914
0.615 0.750 0.086
0.885 0.250 0.586
```

- polymorph energy (0 for the lowest one) (eV/f.u.) = 0.000
- SG = No. 62
- total magnetization (μB per formula unit) = 0.0
- E (eV per atom) = -5.213
- formation energy (eV/atom) = -0.45

---

- What is the formula in the first record?
  LaPm2Ge

---

- The highest formation energy belongs to which entry?
  number 1

---

- Which value of total magnetization does entry 1 give?
  0.0 μB per formula unit

---

- Number 2 is which compound?
  LaPm2Ge